Entry 1:
CaSiTe2W PBE relaxed; DOS(E_F) = 3.86 states/eV/f.u.; calculated volume = 138 Å³ per cell; total moment = 1.67 Bohr magnetons per cell; formation energy without anion corrections = 0.530 eV/atom
1.0
5.443 0.000 0.000
0.000 5.443 0.000
0.000 0.000 4.646
Ca Si Te W
1 1 2 1
Direct
0.000 0.000 0.000
0.500 0.500 0.500
0.000 0.500 0.500
0.500 0.000 0.500
0.500 0.500 0.000



Entry 2:
La3PrHo2As6 PBE relaxed; DOS(E_F) = 1.23 states/eV/f.u.; calculated volume = 331 Å³ per cell; total moment = 0.00 Bohr magnetons per cell; E_form = -1533 meV per atom
1.0
3.703 -6.413 0.000
3.703 6.413 0.000
-2.470 0.000 6.977
La Pr Ho As
3 1 2 6
Direct
0.000 0.000 0.000
0.335 0.665 0.000
0.665 0.335 0.000
0.500 0.500 0.500
0.167 0.833 0.500
0.833 0.167 0.500
0.080 0.420 0.260
0.239 0.239 0.739
0.420 0.080 0.260
0.580 0.920 0.740
0.761 0.761 0.261
0.920 0.580 0.740



Entry 3:
Ti2TeSe PBE relaxed; DOS(E_F) = 2.96 states/eV/f.u.; calculated volume = 315 Å³ per cell; polymorph energy (0 for the lowest one) = 0 meV/atom; total moment = 0.00 Bohr magnetons per cell; formation energy without anion corrections = -0.875 eV/atom
1.0
7.309 0.000 0.000
0.000 6.539 0.000
-0.032 0.000 6.588
Ti Te Se
8 4 4
Direct
0.104 0.185 0.498
0.104 0.315 0.998
0.344 0.693 0.012
0.344 0.807 0.512
0.656 0.193 0.488
0.656 0.307 0.988
0.896 0.685 0.002
0.896 0.815 0.502
0.375 0.086 0.212
0.375 0.414 0.712
0.625 0.586 0.288
0.625 0.914 0.788
0.119 0.577 0.288
0.119 0.923 0.788
0.881 0.077 0.212
0.881 0.423 0.712



Entry 4:
TaH2N PBE relaxed; DOS(E_F) = 1.00 states/eV/f.u.; calculated volume = 68 Å³ per cell; polymorph energy (0 for the lowest one) = 0 meV/atom; total moment = 0.00 Bohr magnetons per cell
1.0
-1.493 1.493 7.664
1.493 -1.493 7.664
1.493 1.493 -7.664
Ta H N
2 4 2
Direct
0.375 0.625 0.750
0.625 0.375 0.250
0.000 0.500 0.500
0.500 0.000 0.000
0.500 0.500 0.000
0.500 0.500 0.500
0.125 0.875 0.250
0.875 0.125 0.750



Entry 5:
Cs2KTl6Pd PBE relaxed; DOS(E_F) = 7.40 states/eV/f.u.; calculated volume = 391 Å³ per cell; total moment = 0.00 Bohr magnetons per cell; E_form = -80 meV per atom
1.0
7.827 0.000 0.000
-3.913 6.778 0.000
0.000 0.000 7.364
Cs K Tl Pd
2 1 6 1
Direct
0.333 0.667 0.136
0.667 0.333 0.864
0.000 0.000 0.000
0.196 0.392 0.638
0.196 0.804 0.638
0.392 0.196 0.362
0.608 0.804 0.638
0.804 0.196 0.362
0.804 0.608 0.362
0.000 0.000 0.500



Entry 6:
Cd3AgCl PBE relaxed; DOS(E_F) = 2.21 states/eV/f.u.; calculated volume = 163 Å³ per cell; polymorph energy (0 for the lowest one) = 513 meV/atom; total moment = 0.00 Bohr magnetons per cell; formation energy without anion corrections = 0.480 eV/atom
1.0
5.458 0.000 0.000
0.000 5.458 0.000
0.000 0.000 5.458
Cd Ag Cl
3 1 1
Direct
0.000 0.000 0.500
0.000 0.500 0.000
0.500 0.000 0.000
0.500 0.500 0.500
0.000 0.000 0.000



Entry 7:
Sc2PaCo3 PBE relaxed; DOS(E_F) = 4.86 states/eV/f.u.; calculated volume = 106 Å³ per cell; polymorph energy (0 for the lowest one) = 214 meV/atom; total moment = 0.00 Bohr magnetons per cell; E_form = -108 meV per atom
1.0
-1.729 2.598 5.875
1.729 -2.598 5.875
1.729 2.598 -5.875
Sc Pa Co
2 1 3
Direct
0.167 0.167 0.000
0.833 0.833 0.000
0.500 0.500 0.000
0.000 0.500 0.500
0.341 0.841 0.500
0.659 0.159 0.500



Entry 8:
CaScCu2 PBE relaxed; DOS(E_F) = 2.75 states/eV/f.u.; calculated volume = 79 Å³ per cell; polymorph energy (0 for the lowest one) = 0 meV/atom; total moment = 0.00 Bohr magnetons per cell; E_form = -174 meV per atom
1.0
3.421 0.000 0.000
0.000 3.378 0.000
-0.022 0.000 6.868
Ca Sc Cu
1 1 2
Direct
0.000 0.000 0.000
0.000 0.000 0.500
0.500 0.500 0.300
0.500 0.500 0.700